[1]
DFT (PBE-GGA) results for a relaxed structure of SbRuPb2.

Geometry as CIF:
```
data_SbRuPb2
_chemical_formula_sum 'Sb1 Ru1 Pb2'
_cell_length_a 3.332
_cell_length_b 3.332
_cell_length_c 8.675
_cell_angle_alpha 90.00
_cell_angle_beta 90.00
_cell_angle_gamma 90.00
_space_group_name_H-M_alt 'P 4/m m m'
_space_group_IT_number 123
_space_group_name_Hall '-P 4 2'
loop_
_atom_site_label
_atom_site_fract_x
_atom_site_fract_y
_atom_site_fract_z
_atom_site_occupancy
Sb1 0.000 0.000 0.000 1
Ru1 0.000 0.000 0.500 1
Pb1 0.500 0.500 0.302 1
```

Values from the calculation:
**Magnetization**: 0.00 μB/cell
**Uncorrected formation energy**: 0.3346 eV/atom
**Theoretical density**: 10989 kg/m³
**E_tot**: -19.48 eV/f.u.


[2]
DFT (PBE-GGA) results for a relaxed structure of Dy3ZnCu2.

Geometry as CIF:
```
data_Dy3ZnCu2
_chemical_formula_sum 'Dy6 Zn2 Cu4'
_cell_length_a 4.9509
_cell_length_b 4.9509
_cell_length_c 12.1326
_cell_angle_alpha 90.00
_cell_angle_beta 90.00
_cell_angle_gamma 120.00
_space_group_name_H-M_alt 'P -3 m 1'
_space_group_IT_number 164
_space_group_name_Hall '-P 3 2"'
loop_
_atom_site_label
_atom_site_fract_x
_atom_site_fract_y
_atom_site_fract_z
_atom_site_occupancy
Dy1 0.0000 0.0000 0.2451 1
Dy2 0.3333 0.6667 0.4172 1
Dy3 0.3333 0.6667 0.9210 1
Zn1 0.3333 0.6667 0.6702 1
Cu1 0.0000 0.0000 0.0000 1
Cu2 0.0000 0.0000 0.5000 1
Cu3 0.3333 0.6667 0.1723 1
```

Values from the calculation:
**Magnetization**: 0.00 μB/cell
**Theoretical density**: 8769 kg/m³
**E_tot**: -24.95 eV/f.u.


[3]
DFT (PBE-GGA) results for a relaxed structure of AcCe2Hg8.

Geometry as CIF:
```
data_AcCe2Hg8
_chemical_formula_sum 'Ac2 Ce4 Hg16'
_cell_length_a 5.341
_cell_length_b 7.350
_cell_length_c 15.590
_cell_angle_alpha 90.00
_cell_angle_beta 90.00
_cell_angle_gamma 90.00
_space_group_name_H-M_alt 'I m m m'
_space_group_IT_number 71
_space_group_name_Hall '-I 2 2'
loop_
_atom_site_label
_atom_site_fract_x
_atom_site_fract_y
_atom_site_fract_z
_atom_site_occupancy
Ac1 0.000 0.000 0.000 1
Ce1 0.000 0.000 0.313 1
Hg1 0.000 0.207 0.500 1
Hg2 0.000 0.285 0.157 1
Hg3 0.000 0.500 0.340 1
```

Values from the calculation:
**Magnetization**: 3.96 μB/cell
**Theoretical density**: 11460 kg/m³
**E_tot**: -21.65 eV/f.u.


[4]
DFT (PBE-GGA) results for a relaxed structure of HfAl2PW.

Geometry as CIF:
```
data_HfAl2PW
_chemical_formula_sum 'Hf1 Al2 P1 W1'
_cell_length_a 5.071
_cell_length_b 5.071
_cell_length_c 4.787
_cell_angle_alpha 90.00
_cell_angle_beta 90.00
_cell_angle_gamma 90.00
_space_group_name_H-M_alt 'P 4/m m m'
_space_group_IT_number 123
_space_group_name_Hall '-P 4 2'
loop_
_atom_site_label
_atom_site_fract_x
_atom_site_fract_y
_atom_site_fract_z
_atom_site_occupancy
Hf1 0.000 0.000 0.000 1
Al1 0.000 0.500 0.000 1
P1 0.000 0.000 0.500 1
W1 0.500 0.500 0.500 1
```

Values from the calculation:
**Magnetization**: 3.38 μB/cell
**Theoretical density**: 6034 kg/m³
**E_tot**: -27.92 eV/f.u.